This record from Alexandria describes crystalline Mn2AlCrGa at its relaxed geometry. The functional is PBE. Values from VASP.

theoretical density: 4.871 Mg/m³
size of the total moment: 0.8608 μB per atom
DOS at the Fermi energy: 1.09 states/eV/atom
formation enthalpy at 0 K: 0.83 eV per atom
total energy: -0.2247 Ha/atom

Structure (Quantum ESPRESSO input):
```
&SYSTEM
  ibrav = 0, nat = 5, ntyp = 4
/
ATOMIC_SPECIES
Mn 54.94 Mn.upf
Al 26.98 Al.upf
Cr 52.00 Cr.upf
Ga 69.72 Ga.upf
ATOMIC_POSITIONS crystal
Mn 0.0000 0.5000 0.0000
Mn 0.5000 0.0000 0.0000
Al 0.0000 0.0000 0.5000
Cr 0.5000 0.5000 0.0000
Ga 0.5000 0.5000 0.5000
CELL_PARAMETERS angstrom
4.3502 0.0000 0.0000
0.0000 4.3502 0.0000
0.0000 0.0000 4.6584
```